Record 1
# NdMg5Pd2

A relaxed NdMg5Pd2 crystal (PBE, Alexandria).

Computed properties:
final energy	-0.1227	Ha/atom
formation energy	-0.4479	eV/atom
total magnetic moment	0.0	μB/f.u.

Cell and atoms, written as POSCAR:
```
NdMg5Pd2
1.0
-2.077 4.167 5.066
2.077 -4.167 5.066
2.077 4.167 -5.066
Nd Mg Pd
1 5 2
direct
0.000 0.000 0.000 Nd
0.155 0.341 0.814 Mg
0.473 0.659 0.814 Mg
0.500 0.000 0.500 Mg
0.527 0.341 0.186 Mg
0.845 0.659 0.186 Mg
0.232 0.732 0.500 Pd
0.768 0.268 0.500 Pd
```

---

Record 2
# LaTh4In5

A relaxed LaTh4In5 crystal (PBE, Alexandria).

Computed properties:
final energy	-0.1896	Ha/atom
formation energy	-0.3284	eV/atom
total magnetic moment	0.0	μB/f.u.

Cell and atoms, written as POSCAR:
```
LaTh4In5
1.0
3.534 0.000 0.000
0.000 3.534 0.000
0.000 0.000 23.135
La Th In
1 4 5
direct
0.000 0.000 0.000 La
0.000 0.000 0.201 Th
0.000 0.000 0.400 Th
0.000 0.000 0.600 Th
0.000 0.000 0.799 Th
0.500 0.500 0.102 In
0.500 0.500 0.301 In
0.500 0.500 0.500 In
0.500 0.500 0.699 In
0.500 0.500 0.898 In
```

---

Record 3
# LiPa2BeO6

A relaxed LiPa2BeO6 crystal (PBE, Alexandria).

Computed properties:
final energy	-0.3036	Ha/atom
formation energy from raw total energies	-2.8232	eV per atom
total magnetic moment	0.0	μB/f.u.

Cell and atoms, written as POSCAR:
```
LiPa2BeO6
1.0
5.021 0.000 0.000
0.000 5.021 0.000
0.000 0.000 4.494
Li Pa Be O
1 2 1 6
direct
0.000 0.000 0.000 Li
0.000 0.500 0.428 Pa
0.500 0.000 0.428 Pa
0.500 0.500 0.007 Be
0.000 0.000 0.580 O
0.262 0.262 0.137 O
0.262 0.738 0.137 O
0.500 0.500 0.642 O
0.738 0.262 0.137 O
0.738 0.738 0.137 O
```

---

Record 4
# CrNi2HPt

A relaxed CrNi2HPt crystal (PBE, Alexandria).

Computed properties:
final energy	-0.2264	Ha/atom
distance to the lowest polymorph of the same formula	0.059	eV per atom
total magnetic moment	3.1	μB/f.u.

Cell and atoms, written as POSCAR:
```
CrNi2HPt
1.0
3.746 0.000 0.000
0.000 3.746 0.000
0.000 0.000 3.824
Cr Ni H Pt
1 2 1 1
direct
0.000 0.000 0.000 Cr
0.000 0.500 0.500 Ni
0.500 0.000 0.500 Ni
0.500 0.500 0.500 H
0.500 0.500 0.000 Pt
```